[1]
Material: CaGaP
Method: DFT, PBE
State: optimized geometry

```
data_CaGaP
_chemical_formula_sum 'Ca4 Ga4 P4'
_symmetry_space_group_name_H-M 'I 41 m d'
_symmetry_Int_Tables_number 109
_symmetry_space_group_name_Hall 'I 4bw -2'
_cell_length_a 5.458
_cell_length_b 5.458
_cell_length_c 10.481
_cell_angle_alpha 90.00
_cell_angle_beta 90.00
_cell_angle_gamma 90.00
loop_
_atom_site_label
_atom_site_type_symbol
_atom_site_fract_x
_atom_site_fract_y
_atom_site_fract_z
Ca1 Ca 0.000 0.000 0.000
Ga1 Ga 0.000 0.000 0.505
P1 P 0.000 0.000 0.270
```

**Formation enthalpy at 0 K**: -0.3200 eV/atom
**Energy above the most stable polymorph in this dataset**: 474.9 meV/atom
**DOS(E_F)**: 7.77 states/eV per cell

***

[2]
Material: NaCoAsOs2
Method: DFT, PBE
State: optimized geometry

```
data_NaCoAsOs2
_chemical_formula_sum 'Na1 Co1 As1 Os2'
_symmetry_space_group_name_H-M 'P 4/m m m'
_symmetry_Int_Tables_number 123
_symmetry_space_group_name_Hall '-P 4 2'
_cell_length_a 4.423
_cell_length_b 4.423
_cell_length_c 4.641
_cell_angle_alpha 90.00
_cell_angle_beta 90.00
_cell_angle_gamma 90.00
loop_
_atom_site_label
_atom_site_type_symbol
_atom_site_fract_x
_atom_site_fract_y
_atom_site_fract_z
Na1 Na 0.000 0.000 0.000
Co1 Co 0.000 0.000 0.500
As1 As 0.500 0.500 0.000
Os1 Os 0.000 0.500 0.500
```

**Formation enthalpy at 0 K**: 1.4511 eV/atom
**DOS(E_F)**: 5.04 states/eV per cell

***

[3]
Material: Tb4PrSm10
Method: DFT, PBE
State: optimized geometry

```
data_Tb4PrSm10
_chemical_formula_sum 'Tb8 Pr2 Sm20'
_symmetry_space_group_name_H-M 'I 4/m'
_symmetry_Int_Tables_number 87
_symmetry_space_group_name_Hall '-I 4'
_cell_length_a 12.773
_cell_length_b 12.773
_cell_length_c 6.771
_cell_angle_alpha 90.00
_cell_angle_beta 90.00
_cell_angle_gamma 90.00
loop_
_atom_site_label
_atom_site_type_symbol
_atom_site_fract_x
_atom_site_fract_y
_atom_site_fract_z
Tb1 Tb 0.067 0.177 0.000
Pr1 Pr 0.000 0.000 0.500
Sm1 Sm 0.000 0.500 0.250
Sm2 Sm 0.128 0.709 0.253
```

**Formation enthalpy at 0 K**: 0.5285 eV/atom
**DOS(E_F)**: 55.41 states/eV per cell

***

[4]
Material: IrOs2Pb
Method: DFT, PBE
State: optimized geometry

```
data_IrOs2Pb
_chemical_formula_sum 'Ir4 Os8 Pb4'
_symmetry_space_group_name_H-M 'I -4 2 d'
_symmetry_Int_Tables_number 122
_symmetry_space_group_name_Hall 'I -4 2bw'
_cell_length_a 5.900
_cell_length_b 5.900
_cell_length_c 11.555
_cell_angle_alpha 90.00
_cell_angle_beta 90.00
_cell_angle_gamma 90.00
loop_
_atom_site_label
_atom_site_type_symbol
_atom_site_fract_x
_atom_site_fract_y
_atom_site_fract_z
Ir1 Ir 0.000 0.000 0.000
Os1 Os 0.202 0.250 0.125
Pb1 Pb 0.000 0.000 0.500
```

**Formation enthalpy at 0 K**: 1.4230 eV/atom
**DOS(E_F)**: 16.77 states/eV per cell

***

[5]
Material: Li3Pa3FeS8
Method: DFT, PBE
State: optimized geometry

```
data_Li3Pa3FeS8
_chemical_formula_sum 'Li9 Pa9 Fe3 S24'
_symmetry_space_group_name_H-M 'R -3 m'
_symmetry_Int_Tables_number 166
_symmetry_space_group_name_Hall '-R 3 2"'
_cell_length_a 7.5837
_cell_length_b 7.5837
_cell_length_c 18.8022
_cell_angle_alpha 90.00
_cell_angle_beta 90.00
_cell_angle_gamma 120.00
loop_
_atom_site_label
_atom_site_type_symbol
_atom_site_fract_x
_atom_site_fract_y
_atom_site_fract_z
Li1 Li 0.0000 0.5000 0.0000
Pa1 Pa 0.0000 0.5000 0.5000
Fe1 Fe 0.0000 0.0000 0.5000
S1 S 0.0000 0.0000 0.2560
S2 S 0.0163 0.5082 0.2469
```

**Formation energy (no corrections)**: -1288 meV/atom
**DOS(E_F)**: 74.12 states/eV per cell

***

[6]
Material: CoNi2Se5
Method: DFT, PBE
State: optimized geometry

```
data_CoNi2Se5
_chemical_formula_sum 'Co4 Ni8 Se20'
_symmetry_space_group_name_H-M 'C 1 2/c 1'
_symmetry_Int_Tables_number 15
_cell_length_a 10.610
_cell_length_b 6.271
_cell_length_c 8.532
_cell_angle_alpha 90.00
_cell_angle_beta 103.69
_cell_angle_gamma 90.00
loop_
_symmetry_equiv_pos_as_xyz
'x,y,z'
'-x,-y,-z'
'-x,y,-z+1/2'
'x,-y,z+1/2'
'x+1/2,y+1/2,z'
'-x+1/2,-y+1/2,-z'
'-x+1/2,y+1/2,-z+1/2'
'x+1/2,-y+1/2,z+1/2'
loop_
_atom_site_label
_atom_site_type_symbol
_atom_site_fract_x
_atom_site_fract_y
_atom_site_fract_z
Co1 Co 0.000 0.000 0.000
Ni1 Ni 0.119 0.492 0.218
Se1 Se 0.000 0.171 0.250
Se2 Se 0.113 0.318 0.962
Se3 Se 0.193 0.186 0.624
```

**Formation energy (no corrections)**: -259 meV/atom
**DOS(E_F)**: 22.10 states/eV per cell

***

[7]
Material: LaCeInRu
Method: DFT, PBE
State: optimized geometry

```
data_LaCeInRu
_chemical_formula_sum 'La1 Ce1 In1 Ru1'
_symmetry_space_group_name_H-M 'P 4 m m'
_symmetry_Int_Tables_number 99
_cell_length_a 3.427
_cell_length_b 3.427
_cell_length_c 8.647
_cell_angle_alpha 90.00
_cell_angle_beta 90.00
_cell_angle_gamma 90.00
loop_
_symmetry_equiv_pos_as_xyz
'x,y,z'
'-y,x,z'
'-x,-y,z'
'y,-x,z'
'-x,y,z'
'y,x,z'
'x,-y,z'
'-y,-x,z'
loop_
_atom_site_label
_atom_site_type_symbol
_atom_site_fract_x
_atom_site_fract_y
_atom_site_fract_z
La1 La 0.000 0.000 0.000
Ce1 Ce 0.000 0.000 0.590
In1 In 0.500 0.500 0.301
Ru1 Ru 0.500 0.500 0.777
```

**Formation enthalpy at 0 K**: -0.3512 eV/atom
**DOS(E_F)**: 4.27 states/eV per cell

***

[8]
Material: YZn5
Method: DFT, PBE
State: optimized geometry

```
data_YZn5
_chemical_formula_sum 'Y2 Zn10'
_symmetry_space_group_name_H-M 'C m m m'
_symmetry_Int_Tables_number 65
_symmetry_space_group_name_Hall '-C 2 2'
_cell_length_a 4.280
_cell_length_b 11.342
_cell_length_c 4.392
_cell_angle_alpha 90.00
_cell_angle_beta 90.00
_cell_angle_gamma 90.00
loop_
_atom_site_label
_atom_site_type_symbol
_atom_site_fract_x
_atom_site_fract_y
_atom_site_fract_z
Y1 Y 0.000 0.000 0.000
Zn1 Zn 0.000 0.173 0.500
Zn2 Zn 0.000 0.314 0.000
Zn3 Zn 0.000 0.500 0.500
```

**Formation enthalpy at 0 K**: -0.1672 eV/atom
**DOS(E_F)**: 4.98 states/eV per cell

***

[9]
Material: Ac2YTc3O12
Method: DFT, PBE
State: optimized geometry

```
data_Ac2YTc3O12
_chemical_formula_sum 'Ac6 Y3 Tc9 O36'
_symmetry_space_group_name_H-M 'R -3 m'
_symmetry_Int_Tables_number 166
_symmetry_space_group_name_Hall '-R 3 2"'
_cell_length_a 7.2893
_cell_length_b 7.2893
_cell_length_c 16.0240
_cell_angle_alpha 90.00
_cell_angle_beta 90.00
_cell_angle_gamma 120.00
loop_
_atom_site_label
_atom_site_type_symbol
_atom_site_fract_x
_atom_site_fract_y
_atom_site_fract_z
Ac1 Ac 0.0000 0.0000 0.1185
Y1 Y 0.0000 0.0000 0.5000
Tc1 Tc 0.0000 0.5000 0.0000
O1 O 0.0446 0.5223 0.8797
O2 O 0.0662 0.5331 0.3107
```

**Formation energy (no corrections)**: -2132 meV/atom
**DOS(E_F)**: 16.79 states/eV per cell

***

[10]
Material: Ba2AsP
Method: DFT, PBE
State: optimized geometry

```
data_Ba2AsP
_chemical_formula_sum 'Ba2 As1 P1'
_symmetry_space_group_name_H-M 'P m m m'
_symmetry_Int_Tables_number 47
_cell_length_a 3.545
_cell_length_b 4.080
_cell_length_c 8.539
_cell_angle_alpha 90.00
_cell_angle_beta 90.00
_cell_angle_gamma 90.00
loop_
_symmetry_equiv_pos_as_xyz
'x,y,z'
'-x,-y,-z'
'-x,-y,z'
'x,y,-z'
'x,-y,-z'
'-x,y,z'
'-x,y,-z'
'x,-y,z'
loop_
_atom_site_label
_atom_site_type_symbol
_atom_site_fract_x
_atom_site_fract_y
_atom_site_fract_z
Ba1 Ba 0.000 0.000 0.237
As1 As 0.500 0.500 0.500
P1 P 0.500 0.500 0.000
```

**Formation enthalpy at 0 K**: -0.7428 eV/atom
**Energy above the most stable polymorph in this dataset**: 217.2 meV/atom
**DOS(E_F)**: 3.14 states/eV per cell

***

[11]
Material: PaNb
Method: DFT, PBE
State: optimized geometry

```
data_PaNb
_chemical_formula_sum 'Pa1 Nb1'
_symmetry_space_group_name_H-M 'P m -3 m'
_symmetry_Int_Tables_number 221
_symmetry_space_group_name_Hall '-P 4 2 3'
_cell_length_a 3.545
_cell_length_b 3.545
_cell_length_c 3.545
_cell_angle_alpha 90.00
_cell_angle_beta 90.00
_cell_angle_gamma 90.00
loop_
_atom_site_label
_atom_site_type_symbol
_atom_site_fract_x
_atom_site_fract_y
_atom_site_fract_z
Pa1 Pa 0.000 0.000 0.000
Nb1 Nb 0.500 0.500 0.500
```

**Formation enthalpy at 0 K**: 0.2811 eV/atom
**Energy above the most stable polymorph in this dataset**: 258.9 meV/atom
**DOS(E_F)**: 5.40 states/eV per cell

***

[12]
Material: OsI3Br4
Method: DFT, PBE
State: optimized geometry

```
data_OsI3Br4
_chemical_formula_sum 'Os2 I6 Br8'
_symmetry_space_group_name_H-M 'C 1 m 1'
_symmetry_Int_Tables_number 8
_cell_length_a 12.183
_cell_length_b 8.714
_cell_length_c 8.385
_cell_angle_alpha 90.00
_cell_angle_beta 131.46
_cell_angle_gamma 90.00
loop_
_symmetry_equiv_pos_as_xyz
'x,y,z'
'x,-y,z'
'x+1/2,y+1/2,z'
'x+1/2,-y+1/2,z'
loop_
_atom_site_label
_atom_site_type_symbol
_atom_site_fract_x
_atom_site_fract_y
_atom_site_fract_z
Os1 Os 0.000 0.000 0.000
I1 I 0.150 0.000 0.875
I2 I 0.264 0.500 0.569
I3 I 0.498 0.000 0.488
Br1 Br 0.223 0.000 0.392
Br2 Br 0.340 0.500 0.081
Br3 Br 0.499 0.217 0.998
```

**Formation energy (no corrections)**: -18 meV/atom